Sn2ClF: relaxed, PBE-GGA.

Results
- Final energy: -3.50 eV/atom
- Distance to the lowest polymorph of the same formula: 1.14 eV per formula unit
- Raw formation energy: -0.572 eV/atom

Cell lengths 7.0828, 7.0828, 7.0828 Å; angles 90.00, 90.00, 90.00 degrees
Closest atoms and distances in Å follow each position.
Space group Fm-3m (No. 225)
Symmetry-distinct sites (fractional):
Sn: 0.2500 0.2500 0.2500 (multiplicity 8)  4 F 3.07, 4 Cl 3.07
Cl: 0.0000 0.0000 0.0000 (multiplicity 4)  8 Sn 3.07
F: 0.0000 0.0000 0.5000 (multiplicity 4)  8 Sn 3.07

NiSbAsSe2: relaxed, PBE-GGA.

Results
- Final energy: -3.18 eV/atom
- Distance to the lowest polymorph of the same formula: 4.35 eV per formula unit
- Raw formation energy: 1.124 eV/atom

Cell lengths 5.2682, 5.2682, 5.2811 Å; angles 90.00, 90.00, 90.00 degrees
Closest atoms and distances in Å follow each position.
Space group P4/mmm (No. 123)
Symmetry-distinct sites (fractional):
Ni: 0.0000 0.0000 0.0000 (multiplicity 1)  4 As 3.73, 8 Se 3.73
Sb: 0.5000 0.5000 0.5000 (multiplicity 1)  4 Se 2.63, 2 As 2.64
As: 0.5000 0.5000 0.0000 (multiplicity 1)  2 Sb 2.64
Se: 0.0000 0.5000 0.5000 (multiplicity 2)  2 Sb 2.63

TbPr2Y2: relaxed, PBE-GGA.

Results
- Calculated formation energy: 0.025 eV per atom
- Final energy: -5.40 eV/atom
- Distance to the lowest polymorph of the same formula: 0.00 eV per formula unit

Cell lengths 6.2775, 3.6263, 14.8216 Å; angles 90.00, 90.06, 90.00 degrees
Closest atoms and distances in Å follow each position.
Space group C2/m (No. 12)
Symmetry-distinct sites (fractional):
Tb: 0.0000 0.0000 0.0000 (multiplicity 2)  6 Y 3.56, 6 Tb 3.62-3.63
Pr: 0.1684 0.5000 0.3947 (multiplicity 4)  9 Pr 3.62-3.77, 3 Y 3.63
Y: 0.1653 0.5000 0.8055 (multiplicity 4)  3 Tb 3.56, 6 Y 3.62-3.63, 3 Pr 3.63

NaSrIn2Rh: relaxed, PBE-GGA.

Results
- Calculated formation energy: -0.250 eV per atom
- Final energy: -3.42 eV/atom
- Distance to the lowest polymorph of the same formula: 0.00 eV per formula unit

Cell lengths 5.2500, 5.2500, 5.6286 Å; angles 90.00, 90.00, 90.00 degrees
Closest atoms and distances in Å follow each position.
Space group P4/mmm (No. 123)
Symmetry-distinct sites (fractional):
Na: 0.0000 0.0000 0.0000 (multiplicity 1)  4 Sr 3.71, 8 In 3.85
Sr: 0.5000 0.5000 0.0000 (multiplicity 1)  2 Rh 2.81
In: 0.0000 0.5000 0.5000 (multiplicity 2)  2 Rh 2.63
Rh: 0.5000 0.5000 0.5000 (multiplicity 1)  4 In 2.63, 2 Sr 2.81

Al2Rh13: relaxed, PBE-GGA.

Results
- Calculated formation energy: -0.243 eV per atom
- Final energy: -7.11 eV/atom

Cell lengths 4.6926, 6.0429, 8.1641 Å; angles 72.77, 73.53, 82.94 degrees
Closest atoms and distances in Å follow each position.
Space group P-1 (No. 2)
Symmetry-distinct sites (fractional):
Al: 0.1772 0.4988 0.3243 (multiplicity 2)  11 Rh 2.65-2.74, 1 Al 2.88
Rh: 0.0357 0.6966 0.8677 (multiplicity 2)  1 Al 2.67, 11 Rh 2.68-2.76
Rh: 0.0997 0.1056 0.5979 (multiplicity 2)  10 Rh 2.67-2.76, 2 Al 2.72-2.73
Rh: 0.2351 0.9022 0.0671 (multiplicity 2)  11 Rh 2.67-2.73, 1 Al 2.69
Rh: 0.2989 0.3011 0.7992 (multiplicity 2)  2 Al 2.67-2.71, 10 Rh 2.69-2.73
Rh: 0.3596 0.6966 0.5320 (multiplicity 2)  9 Rh 2.67-2.77, 3 Al 2.70-2.74
Rh: 0.4310 0.0959 0.2674 (multiplicity 2)  11 Rh 2.67-2.77, 1 Al 2.68
Rh: 0.5000 0.5000 0.0000 (multiplicity 1)  2 Al 2.65, 10 Rh 2.69-2.73

NdHo3Mg: relaxed, PBE-GGA.

Results
- Calculated formation energy: -0.014 eV per atom
- Final energy: -4.03 eV/atom
- Distance to the lowest polymorph of the same formula: 0.00 eV per formula unit

Cell lengths 12.9739, 3.6845, 12.7731 Å; angles 90.00, 93.37, 90.00 degrees
Closest atoms and distances in Å follow each position.
Space group C2/m (No. 12)
Symmetry-distinct sites (fractional):
Nd: 0.2351 0.0000 0.2587 (multiplicity 4)  2 Mg 3.37, 8 Ho 3.53-3.69, 2 Nd 3.68
Ho: 0.0362 0.0000 0.6870 (multiplicity 4)  2 Mg 3.32, 7 Ho 3.48-3.68, 3 Nd 3.53-3.63
Ho: 0.1333 0.5000 0.4771 (multiplicity 4)  9 Ho 3.48-3.68, 3 Nd 3.65-3.69
Ho: 0.1502 0.0000 0.9420 (multiplicity 4)  4 Mg 3.26-3.31, 3 Ho 3.44-3.50, 2 Nd 3.55
Mg: 0.0554 0.5000 0.1233 (multiplicity 4)  6 Ho 3.26-3.32, 2 Nd 3.37, 1 Mg 3.39